Entry i
First-principles (GGA-PBE) data for a relaxed structure of LiPbS, as listed in Alexandria via LeMat-Bulk.

## Properties
Its space group is P2_13 (198).

a = 6.4712 Å, b = 6.4712 Å, c = 6.4712 Å
α = 90.00°, β = 90.00°, γ = 90.00°
Last column: nearest neighbours and their distance in Å.
Fractional positions:
Li 0.6672 0.6672 0.6672  3 S 2.33
Li 0.8328 0.3328 0.1672  3 S 2.33
Li 0.1672 0.8328 0.3328  3 S 2.33
Li 0.3328 0.1672 0.8328  3 S 2.33
Pb 0.3564 0.3564 0.3564  1 S 2.69
Pb 0.1436 0.6436 0.8564  1 S 2.69
Pb 0.8564 0.1436 0.6436  1 S 2.69
Pb 0.6436 0.8564 0.1436  1 S 2.69
S 0.1164 0.1164 0.1164  3 Li 2.33
S 0.3836 0.8836 0.6164  3 Li 2.33
S 0.6164 0.3836 0.8836  3 Li 2.33
S 0.8836 0.6164 0.3836  3 Li 2.33

Entry ii
First-principles (GGA-PBE) data for a relaxed structure of LiPbS, as listed in Alexandria via LeMat-Bulk.

## Properties
Its space group is Cm (8).

a = 5.7409 Å, b = 3.9323 Å, c = 13.5398 Å
α = 90.00°, β = 100.21°, γ = 90.00°
Last column: nearest neighbours and their distance in Å.
Fractional positions:
Li 0.5507 0.0000 0.2258  3 S 2.40-2.41
Li 0.5507 0.5000 0.7258  3 S 2.40-2.41
Li 0.0474 0.0000 0.7572  3 S 2.40-2.41
Li 0.0474 0.5000 0.2572  3 S 2.40-2.41
Pb 0.4716 0.0000 0.9786  4 S 2.96-3.05, 1 Li 3.30
Pb 0.4716 0.5000 0.4786  4 S 2.96-3.05, 1 Li 3.30
Pb 0.9769 0.0000 0.4982  2 S 2.87-3.01
Pb 0.9769 0.5000 0.9982  2 S 2.87-3.01
S 0.6721 0.0000 0.6448  3 Li 2.41
S 0.6721 0.5000 0.1448  3 Li 2.41
S 0.2495 0.0000 0.3279  3 Li 2.40
S 0.2495 0.5000 0.8279  3 Li 2.40

Entry iii
First-principles (GGA-PBE) data for a relaxed structure of LiPbS, as listed in Alexandria via LeMat-Bulk.

## Properties
Its space group is Cm (8).

a = 4.0563 Å, b = 4.0571 Å, c = 9.1903 Å
α = 102.73°, β = 102.67°, γ = 90.00°
Last column: nearest neighbours and their distance in Å.
Fractional positions:
Li 0.8327 0.8165 0.1288  4 S 2.33-2.59
Li 0.3322 0.3158 0.1286  4 S 2.32-2.59
Pb 0.6773 0.1589 0.8115  4 S 3.09-3.10, 4 Li 3.43-3.44
Pb 0.0507 0.5318 0.5597  1 S 2.63
S 0.8972 0.3815 0.2589  4 Li 2.32-2.33
S 0.2416 0.7240 0.9447  4 Li 2.59

Entry iv
First-principles (GGA-PBE) data for a relaxed structure of LiPbS, as listed in Alexandria via LeMat-Bulk.

## Properties
Its space group is P-1 (2).

a = 3.7989 Å, b = 4.0555 Å, c = 10.1569 Å
α = 86.90°, β = 89.89°, γ = 62.21°
Last column: nearest neighbours and their distance in Å.
Fractional positions:
Li 0.6450 0.7133 0.9117  4 S 2.38-2.52
Li 0.3550 0.2867 0.0883  4 S 2.38-2.52
Pb 0.1147 0.7659 0.3612  2 S 2.85
Pb 0.8853 0.2341 0.6388  2 S 2.85
S 0.3221 0.3583 0.8403  4 Li 2.38-2.52
S 0.6779 0.6417 0.1597  4 Li 2.38-2.52

entry iii ends up most stable, edging out the next structure by 1.3 kJ/mol of atoms.

Entry i
First-principles (GGA-PBE) data for a relaxed structure of LiPbS, as listed in Alexandria via LeMat-Bulk.

## Properties
Its space group is Pmn2_1 (31).

a = 3.8989 Å, b = 7.8287 Å, c = 4.6646 Å
α = 90.00°, β = 90.00°, γ = 90.00°
Last column: nearest neighbours and their distance in Å.
Fractional positions:
Li 0.0000 0.0436 0.8929  4 S 2.49-2.50
Li 0.5000 0.9564 0.3929  4 S 2.49-2.50
Pb 0.0000 0.5854 0.9797  2 S 2.84
Pb 0.5000 0.4146 0.4797  2 S 2.84
S 0.0000 0.1565 0.3933  4 Li 2.49-2.50
S 0.5000 0.8435 0.8933  4 Li 2.49-2.50

Entry ii
First-principles (GGA-PBE) data for a relaxed structure of LiPbS, as listed in Alexandria via LeMat-Bulk.

## Properties
Its space group is Pmmn (59).

a = 3.6196 Å, b = 10.2873 Å, c = 3.5972 Å
α = 90.00°, β = 90.00°, γ = 90.00°
Last column: nearest neighbours and their distance in Å.
Fractional positions:
Li 0.0000 0.0937 0.5000  5 S 2.51-2.62
Li 0.5000 0.9063 0.0000  5 S 2.51-2.62
Pb 0.0000 0.6442 0.0000  2 S 2.78
Pb 0.5000 0.3558 0.5000  2 S 2.78
S 0.0000 0.8499 0.5000  5 Li 2.51-2.62, 2 Pb 2.78
S 0.5000 0.1501 0.0000  5 Li 2.51-2.62, 2 Pb 2.78

Entry iii
First-principles (GGA-PBE) data for a relaxed structure of LiPbS, as listed in Alexandria via LeMat-Bulk.

## Properties
Its space group is Imm2 (44).

a = 3.7440 Å, b = 3.6964 Å, c = 19.5066 Å
α = 90.00°, β = 90.00°, γ = 90.00°
Last column: nearest neighbours and their distance in Å.
Fractional positions:
Li 0.0000 0.0000 0.7305  4 S 2.66, 2 Li 2.78
Li 0.5000 0.5000 0.2305  4 S 2.66, 2 Li 2.78
Li 0.0000 0.5000 0.1253  4 S 2.48, 2 Li 2.78
Li 0.5000 0.0000 0.6253  4 S 2.48, 2 Li 2.78
Pb 0.0000 0.0000 0.9743  4 S 2.94
Pb 0.5000 0.5000 0.4743  4 S 2.94
Pb 0.0000 0.0000 0.3474  1 S 2.67
Pb 0.5000 0.5000 0.8474  1 S 2.67
S 0.0000 0.0000 0.5417  2 Li 2.48
S 0.5000 0.5000 0.0417  2 Li 2.48
S 0.0000 0.0000 0.2104  6 Li 2.48-2.66, 1 Pb 2.67
S 0.5000 0.5000 0.7104  6 Li 2.48-2.66, 1 Pb 2.67

entry i ends up most stable, edging out the next structure by 2.8 kJ/mol of atoms.

Entry i
First-principles (GGA-PBE) data for a relaxed structure of Li2Pb3S4, as listed in Alexandria via LeMat-Bulk.

## Properties
Its space group is C2/c (15).

a = 7.1780 Å, b = 7.8984 Å, c = 7.8984 Å
α = 78.46°, β = 86.23°, γ = 86.23°
Last column: nearest neighbours and their distance in Å.
Fractional positions:
Li 0.4250 0.1758 0.4212  4 S 2.43-2.50
Li 0.0750 0.5788 0.8242  4 S 2.43-2.50
Li 0.5750 0.8242 0.5788  4 S 2.43-2.50
Li 0.9250 0.4212 0.1758  4 S 2.43-2.50
Pb 0.8864 0.9905 0.2604  4 S 2.84-3.15
Pb 0.6136 0.7396 0.0095  4 S 2.84-3.15
Pb 0.1136 0.0095 0.7396  4 S 2.84-3.15
Pb 0.3864 0.2604 0.9905  4 S 2.84-3.15
Pb 0.2500 0.5989 0.4011  6 S 2.89-3.22
Pb 0.7500 0.4011 0.5989  6 S 2.89-3.22
S 0.4974 0.9307 0.2700  2 Li 2.48-2.50
S 0.0026 0.7300 0.0693  2 Li 2.48-2.50
S 0.5026 0.0693 0.7300  2 Li 2.48-2.50
S 0.9974 0.2700 0.9307  2 Li 2.48-2.50
S 0.0951 0.2670 0.4214  2 Li 2.43
S 0.4049 0.5786 0.7330  2 Li 2.43
S 0.9049 0.7330 0.5786  2 Li 2.43
S 0.5951 0.4214 0.2670  2 Li 2.43

Entry ii
First-principles (GGA-PBE) data for a relaxed structure of Li2Pb3S4, as listed in Alexandria via LeMat-Bulk.

## Properties
Its space group is C2/m (12).

a = 4.1606 Å, b = 7.1137 Å, c = 7.8697 Å
α = 90.91°, β = 74.67°, γ = 73.00°
Last column: nearest neighbours and their distance in Å.
Fractional positions:
Li 0.6695 0.0243 0.6366  4 S 2.44-2.53
Li 0.3305 0.9757 0.3634  4 S 2.44-2.53
Pb 0.0000 0.0000 0.0000  6 S 2.93-2.97
Pb 0.1423 0.4666 0.2489  5 S 2.80-3.00
Pb 0.8577 0.5334 0.7511  5 S 2.80-3.00
S 0.7232 0.1884 0.3652  3 Li 2.44-2.53
S 0.2768 0.8116 0.6348  3 Li 2.44-2.53
S 0.4081 0.2807 0.9032  1 Li 2.53, 1 Pb 2.80
S 0.5919 0.7193 0.0968  1 Li 2.53, 1 Pb 2.80

entry ii ends up most stable, edging out the next structure by 2.8 kJ/mol of atoms.

Entry i
First-principles (GGA-PBE) data for a relaxed structure of Li2PbS, as listed in Alexandria via LeMat-Bulk.

## Properties
Its space group is Fm-3m (225).

a = 4.7852 Å, b = 4.7852 Å, c = 4.7852 Å
α = 60.00°, β = 60.00°, γ = 60.00°
Last column: nearest neighbours and their distance in Å.
Fractional positions:
Pb 0.5000 0.5000 0.5000  8 Li 2.93
S 0.0000 0.0000 0.0000  8 Li 2.93
Li 0.2500 0.2500 0.2500  4 Pb 2.93, 4 S 2.93
Li 0.7500 0.7500 0.7500  4 Pb 2.93, 4 S 2.93

Entry ii
First-principles (GGA-PBE) data for a relaxed structure of Li2PbS, as listed in Alexandria via LeMat-Bulk.

## Properties
Its space group is I-42d (122).

a = 7.4333 Å, b = 7.4333 Å, c = 6.0681 Å
α = 52.23°, β = 52.23°, γ = 90.00°
Last column: nearest neighbours and their distance in Å.
Fractional positions:
Pb 0.0000 0.0000 0.0000  2 S 3.03, 8 Li 3.18-3.21
Pb 0.7500 0.2500 0.5000  2 S 3.03, 8 Li 3.18-3.21
S 0.5000 0.5000 0.0000  4 Li 2.35
S 0.2500 0.7500 0.5000  4 Li 2.35
Li 0.5384 0.1250 0.2500  2 S 2.35
Li 0.2116 0.6250 0.2500  2 S 2.35
Li 0.3750 0.4616 0.7500  2 S 2.35
Li 0.8750 0.7884 0.7500  2 S 2.35

entry ii ends up most stable, edging out the next structure by 26.0 kJ/mol of atoms.